Entry 1:
The following is a PBE calculation of an optimized crystal structure of HoPu2N4, from the Alexandria database.

Results
- Volume: 395.35 Å³ per cell
- Uncorrected formation energy: -1.224 eV per atom
- E above lowest polymorph: 0.0 kJ/mol of formula units

abc: 3.370 11.277 10.402
angles: 90.00 90.00 90.00
Space group Cmcm (No. 63)
Inequivalent atoms, fractional coordinates:
Ho (0.000, 0.107, 0.250) x4
Pu (0.000, 0.369, 0.071) x8
N (0.000, 0.000, 0.000) x4
N (0.000, 0.274, 0.609) x8
N (0.000, 0.466, 0.250) x4



Entry 2:
The following is a PBE calculation of an optimized crystal structure of Ni4AgPt5, from the Alexandria database.

Results
- Volume: 140.94 Å³ per cell
- Formation energy from the elements: -0.076 eV per atom

abc: 2.735 2.735 18.838
angles: 90.00 90.00 90.00
Space group P4/mmm (No. 123)
Inequivalent atoms, fractional coordinates:
Ni (0.000, 0.000, 0.096) x2
Ni (0.000, 0.000, 0.288) x2
Ag (0.000, 0.000, 0.500) x1
Pt (0.500, 0.500, 0.000) x1
Pt (0.500, 0.500, 0.192) x2
Pt (0.500, 0.500, 0.383) x2



Entry 3:
The following is a PBE calculation of an optimized crystal structure of KTaW2, from the Alexandria database.

Results
- Volume: 300.50 Å³ per cell
- Formation energy from the elements: 1.587 eV per atom
- E above lowest polymorph: 333.0 kJ/mol of formula units

abc: 6.698 6.698 6.698
angles: 90.00 90.00 90.00
Space group F-43m (No. 216)
Inequivalent atoms, fractional coordinates:
K (0.000, 0.000, 0.000) x4
Ta (0.250, 0.250, 0.250) x4
W (0.000, 0.000, 0.500) x4
W (0.250, 0.250, 0.750) x4



Entry 4:
The following is a PBE calculation of an optimized crystal structure of CeH6Pt4, from the Alexandria database.

Results
- Volume: 123.00 Å³ per cell
- DFT total energy: -4.83 eV/atom

abc: 5.261 5.312 5.771
angles: 116.28 90.85 117.70
Space group P1 (No. 1)
Inequivalent atoms, fractional coordinates:
Ce (0.000, 0.000, 0.000) x1
H (0.110, 0.463, 0.935) x1
H (0.110, 0.650, 0.336) x1
H (0.224, 0.369, 0.525) x1
H (0.525, 0.524, 0.117) x1
H (0.578, 0.212, 0.759) x1
H (0.949, 0.933, 0.539) x1
Pt (0.376, 0.793, 0.640) x1
Pt (0.437, 0.832, 0.150) x1
Pt (0.724, 0.506, 0.349) x1
Pt (0.888, 0.258, 0.614) x1



Entry 5:
The following is a PBE calculation of an optimized crystal structure of AcLa3TbSm, from the Alexandria database.

Results
- Volume: 899.12 Å³ per cell
- Formation energy from the elements: 0.176 eV per atom

abc: 21.178 5.983 7.098
angles: 90.00 91.31 90.00
Space group C2/m (No. 12)
Inequivalent atoms, fractional coordinates:
Ac (0.149, 0.000, 0.037) x4
La (0.015, 0.000, 0.750) x4
La (0.158, 0.500, 0.752) x4
La (0.219, 0.500, 0.284) x4
Tb (0.140, 0.000, 0.496) x4
Sm (0.058, 0.500, 0.284) x4



Entry 6:
The following is a PBE calculation of an optimized crystal structure of Ba2ScTa, from the Alexandria database.

Results
- Volume: 128.74 Å³ per cell
- Formation energy from the elements: 0.967 eV per atom
- E above lowest polymorph: 141.0 kJ/mol of formula units

abc: 3.359 3.359 11.407
angles: 90.00 90.00 90.00
Space group P4/mmm (No. 123)
Inequivalent atoms, fractional coordinates:
Ba (0.000, 0.000, 0.229) x2
Sc (0.500, 0.500, 0.500) x1
Ta (0.500, 0.500, 0.000) x1